# 1
Here is an optimized crystal structure of YZnP4 from Alexandria via LeMat-Bulk. Energies are from PBE.

CIF file:
```
data_YZnP4
_chemical_formula_sum 'Y4 Zn4 P16'
_cell_length_a 7.4504
_cell_length_b 7.4504
_cell_length_c 7.4504
_cell_angle_alpha 90.00
_cell_angle_beta 90.00
_cell_angle_gamma 90.00
_space_group_name_H-M_alt 'F -4 3 m'
_space_group_IT_number 216
_space_group_name_Hall 'F -4 2 3'
loop_
_atom_site_label
_atom_site_type_symbol
_atom_site_fract_x
_atom_site_fract_y
_atom_site_fract_z
Y1 Y 0.0000 0.0000 0.0000
Zn1 Zn 0.2500 0.2500 0.7500
P1 P 0.1179 0.1179 0.3821
```


# 2
Here is an optimized crystal structure of YZnP from Alexandria via LeMat-Bulk. Energies are from PBE.

CIF file:
```
data_YZnP
_chemical_formula_sum 'Y2 Zn2 P2'
_cell_length_a 3.5273
_cell_length_b 3.5273
_cell_length_c 9.5095
_cell_angle_alpha 90.00
_cell_angle_beta 90.00
_cell_angle_gamma 90.00
_space_group_name_H-M_alt 'I 4 m m'
_space_group_IT_number 107
_space_group_name_Hall 'I 4 -2'
loop_
_atom_site_label
_atom_site_type_symbol
_atom_site_fract_x
_atom_site_fract_y
_atom_site_fract_z
Y1 Y 0.0000 0.0000 0.0000
Zn1 Zn 0.0000 0.0000 0.3030
P1 P 0.0000 0.0000 0.6776
```


# 3
Here is an optimized crystal structure of YZnP from Alexandria via LeMat-Bulk. Energies are from PBE.

CIF file:
```
data_YZnP
_chemical_formula_sum 'Y4 Zn4 P4'
_cell_length_a 6.3370
_cell_length_b 6.3370
_cell_length_c 6.3370
_cell_angle_alpha 90.00
_cell_angle_beta 90.00
_cell_angle_gamma 90.00
_space_group_name_H-M_alt 'F -4 3 m'
_space_group_IT_number 216
_space_group_name_Hall 'F -4 2 3'
loop_
_atom_site_label
_atom_site_type_symbol
_atom_site_fract_x
_atom_site_fract_y
_atom_site_fract_z
Y1 Y 0.0000 0.0000 0.0000
Zn1 Zn 0.2500 0.2500 0.2500
P1 P 0.0000 0.0000 0.5000
```


# 4
Here is an optimized crystal structure of YZn2P from Alexandria via LeMat-Bulk. Energies are from PBE.

CIF file:
```
data_YZn2P
_chemical_formula_sum 'Y4 Zn8 P4'
_cell_length_a 5.4361
_cell_length_b 5.5504
_cell_length_c 11.0400
_cell_angle_alpha 90.00
_cell_angle_beta 90.00
_cell_angle_gamma 90.00
_space_group_name_H-M_alt 'F m m m'
_space_group_IT_number 69
_space_group_name_Hall '-F 2 2'
loop_
_atom_site_label
_atom_site_type_symbol
_atom_site_fract_x
_atom_site_fract_y
_atom_site_fract_z
Y1 Y 0.0000 0.0000 0.0000
Zn1 Zn 0.2500 0.0000 0.2500
P1 P 0.0000 0.0000 0.5000
```


Number 1: N(E_F) 0.632 states/eV per atom, ΔE_f -0.001 eV per atom. Number 2: N(E_F) 0.623 states/eV per atom, ΔE_f -0.443 eV per atom. Number 3: N(E_F) 0.831 states/eV per atom, ΔE_f -0.257 eV per atom. Number 4: N(E_F) 0.512 states/eV per atom, ΔE_f -0.439 eV per atom.